CaTaTc2H | PBE-GGA | relaxed

Values from the calculation:
E in eV/f.u.: -21.7
SG: P4/mmm (123)
Density in g/cm3: 6.7
M_tot in μB/atom: 0.221

abc: 4.5643 4.5643 4.9689
angles: 90.00 90.00 90.00
Atoms (fractional coordinates):
Ca1 0.0000 0.0000 0.0000
Ta1 0.0000 0.0000 0.5000
Tc1 0.0000 0.5000 0.0000
Tc2 0.5000 0.0000 0.0000
H1 0.5000 0.5000 0.5000